! GGA-PBE AcEr4Ag5, optimized geometry; values from VASP
! * formation enthalpy at 0 K: -0.309 eV per atom
! * volume: 24.76 Å³ per atom
! * space group: P4/mmm (123)
! * DOS at the Fermi energy: 4.78 states/eV/cell
! * crystal system: tetragonal
&SYSTEM
  ibrav = 0, nat = 10, ntyp = 3
/
ATOMIC_SPECIES
Ac 227.00 Ac.upf
Er 167.26 Er.upf
Ag 107.87 Ag.upf
CELL_PARAMETERS angstrom
3.644 0.000 0.000
0.000 3.644 0.000
0.000 0.000 18.643
ATOMIC_POSITIONS crystal
Ac 0.000 0.000 0.000
Er 0.000 0.000 0.211
Er 0.000 0.000 0.404
Er 0.000 0.000 0.596
Er 0.000 0.000 0.789
Ag 0.500 0.500 0.122
Ag 0.500 0.500 0.307
Ag 0.500 0.500 0.500
Ag 0.500 0.500 0.693
Ag 0.500 0.500 0.878

! GGA-PBE AcErAg, optimized geometry; values from VASP
! * energy relative to the lowest polymorph listed for this composition: 0 meV per atom
! * formation enthalpy at 0 K: -0.171 eV per atom
! * volume: 31.74 Å³ per atom
! * space group: P4/nmm (129)
! * DOS at the Fermi energy: 5.51 states/eV/cell
! * crystal system: tetragonal
&SYSTEM
  ibrav = 0, nat = 6, ntyp = 3
/
ATOMIC_SPECIES
Ac 227.00 Ac.upf
Er 167.26 Er.upf
Ag 107.87 Ag.upf
CELL_PARAMETERS angstrom
-0.363 4.222 2.607
0.241 -2.596 4.238
7.664 0.673 -0.025
ATOMIC_POSITIONS crystal
Ac 0.814 0.866 0.546
Ac 0.314 0.367 0.293
Er 0.814 0.366 0.920
Er 0.314 0.866 0.920
Ag 0.814 0.866 0.138
Ag 0.314 0.366 0.701

! GGA-PBE Ac2ErAg5, optimized geometry; values from VASP
! * formation enthalpy at 0 K: -0.175 eV per atom
! * volume: 25.91 Å³ per atom
! * space group: I4/mmm (139)
! * DOS at the Fermi energy: 6.80 states/eV/cell
! * crystal system: tetragonal
&SYSTEM
  ibrav = 0, nat = 8, ntyp = 3
/
ATOMIC_SPECIES
Ac 227.00 Ac.upf
Er 167.26 Er.upf
Ag 107.87 Ag.upf
CELL_PARAMETERS angstrom
5.315 0.000 0.000
0.000 5.315 0.000
-2.657 -2.657 7.339
ATOMIC_POSITIONS crystal
Ac 0.727 0.727 0.454
Ac 0.273 0.273 0.546
Er 0.000 0.000 0.000
Ag 0.500 0.500 0.000
Ag 0.898 0.398 0.796
Ag 0.398 0.898 0.796
Ag 0.102 0.602 0.204
Ag 0.602 0.102 0.204

! GGA-PBE AcErAg, optimized geometry; values from VASP
! * energy relative to the lowest polymorph listed for this composition: 144 meV per atom
! * formation enthalpy at 0 K: -0.028 eV per atom
! * volume: 31.51 Å³ per atom
! * space group: P3m1 (156)
! * DOS at the Fermi energy: 3.45 states/eV/cell
! * crystal system: trigonal
&SYSTEM
  ibrav = 0, nat = 3, ntyp = 3
/
ATOMIC_SPECIES
Ac 227.00 Ac.upf
Ag 107.87 Ag.upf
Er 167.26 Er.upf
CELL_PARAMETERS angstrom
4.091 0.000 0.000
0.000 5.165 0.000
0.000 -2.583 4.473
ATOMIC_POSITIONS crystal
Ac 0.666 0.667 0.333
Ag 0.168 0.333 0.667
Er 0.166 0.000 0.000